[1]
Computed, not measured: a relaxed ZnWSe2 crystal at the PBE level of DFT.

The density of states at the Fermi level comes out at 3.115 states/eV per cell. The uncorrected energy comes out at -20.70 eV per cell.

```
4
Lattice="6.6756 1.8328 -0.1916 3.2470 6.1139 0.1916 -4.1677 -4.9642 2.4384" Properties=species:S:1:pos:R:3 pbc="T T T"
Se 9.0371 7.2376 0.0000
W 3.7345 0.4210 1.1234
Se 5.8467 4.6825 0.0000
Zn 2.0202 2.5615 1.3150
```


[2]
Computed, not measured: a relaxed ZnWSe2 crystal at the PBE level of DFT.

The density of states at the Fermi level comes out at 1.360 states/eV per cell. The uncorrected energy comes out at -20.32 eV per cell.

```
4
Lattice="4.3985 0.0016 0.0016 3.1763 3.0427 0.0016 0.4904 0.1971 5.4999" Properties=species:S:1:pos:R:3 pbc="T T T"
W 2.0163 0.8104 1.3758
Zn 6.0489 2.4311 4.1274
Se 7.3172 2.9408 0.1664
Se 4.2901 1.7242 2.5885
```


[3]
Computed, not measured: a relaxed ZnWSe3 crystal at the PBE level of DFT.

The excess energy over the best structure of this formula in the dataset is 0.000 eV per atom. The density of states at the Fermi level comes out at 3.482 states/eV per cell.

```
5
Lattice="4.9633 0.0000 0.0000 0.0000 4.9633 0.0000 0.0000 0.0000 4.9633" Properties=species:S:1:pos:R:3 pbc="T T T"
Se 0.0000 0.0000 2.4816
Se 0.0000 2.4816 0.0000
W 0.0000 0.0000 0.0000
Zn 2.4816 2.4816 2.4816
Se 2.4816 0.0000 0.0000
```